Entry 1:
The following is a DFT calculation (PBE) of a relaxed CePr2Sm6Y3 crystal.

Computed properties:
- V (Å³ per cell) = 404.11
- total moment (μB/f.u.) = 1.1

Unit cell a=6.284 b=6.284 c=12.004 alpha=95.02 beta=95.02 gamma=120.02
Last column: magnetic moment on the atom in μB.
Element x y z (fractional)
Ce (0.000, 0.000, 0.000)  0.79
Pr (0.334, 0.666, 0.000)  0.01
Pr (0.666, 0.334, 0.000)  0.01
Sm (0.916, 0.585, 0.748)  0.01
Sm (0.754, 0.754, 0.252)  0.01
Sm (0.084, 0.415, 0.252)  0.01
Sm (0.585, 0.916, 0.748)  0.01
Sm (0.246, 0.246, 0.748)  0.01
Sm (0.415, 0.084, 0.252)  0.01
Y (0.167, 0.833, 0.500)  -0.01
Y (0.833, 0.167, 0.500)  -0.01
Y (0.500, 0.500, 0.500)  -0.01


Entry 2:
The following is a DFT calculation (PBE) of a relaxed CePrSm2Y5 crystal.

Computed properties:
- V (Å³ per cell) = 598.03
- total moment (μB/f.u.) = 1.1

Unit cell a=8.702 b=8.702 c=10.012 alpha=115.76 beta=115.76 gamma=90.00
Last column: magnetic moment on the atom in μB.
Element x y z (fractional)
Ce (0.250, 0.250, 0.500)  0.91
Ce (0.750, 0.750, 0.500)  0.91
Pr (0.250, 0.750, 0.500)  -0.01
Pr (0.750, 0.250, 0.500)  -0.01
Sm (0.118, 0.382, 0.000)  -0.03
Sm (0.618, 0.118, 0.000)  -0.03
Sm (0.382, 0.882, 0.000)  -0.03
Sm (0.882, 0.618, 0.000)  -0.03
Y (0.929, 0.429, 0.275)  0.02
Y (0.654, 0.154, 0.725)  0.02
Y (0.071, 0.571, 0.725)  0.02
Y (0.154, 0.071, 0.725)  0.02
Y (0.571, 0.654, 0.725)  0.02
Y (0.846, 0.929, 0.275)  0.02
Y (0.429, 0.346, 0.275)  0.02
Y (0.346, 0.846, 0.275)  0.02
Y (0.500, 0.500, 0.000)  -0.01
Y (0.000, 0.000, 0.000)  -0.01


Entry 3:
The following is a DFT calculation (PBE) of a relaxed CePrSm2Y crystal.

Computed properties:
- V (Å³ per cell) = 340.51
- total moment (μB/f.u.) = 1.6

Unit cell a=7.247 b=7.804 c=6.021 alpha=89.96 beta=90.00 gamma=90.00
Last column: magnetic moment on the atom in μB.
Element x y z (fractional)
Ce (0.000, 0.000, 0.000)  1.00
Ce (0.000, 0.000, 0.500)  1.00
Pr (0.162, 0.500, 0.750)  0.01
Pr (0.838, 0.500, 0.250)  0.01
Sm (0.684, 0.710, 0.750)  0.04
Sm (0.684, 0.290, 0.750)  0.04
Sm (0.316, 0.710, 0.250)  0.04
Sm (0.316, 0.290, 0.250)  0.04
Y (0.610, 0.000, 0.250)  0.06
Y (0.390, 0.000, 0.750)  0.06


Entry 4:
The following is a DFT calculation (PBE) of a relaxed CePrSm6Y2 crystal.

Computed properties:
- V (Å³ per cell) = 343.71
- total moment (μB/f.u.) = 1.8

Unit cell a=9.016 b=6.864 c=6.689 alpha=120.87 beta=102.56 gamma=90.00
Last column: magnetic moment on the atom in μB.
Element x y z (fractional)
Ce (0.000, 0.500, 0.000)  0.82
Pr (0.500, 0.000, 0.000)  0.01
Sm (0.416, 0.631, 0.261)  0.05
Sm (0.197, 0.071, 0.664)  0.04
Sm (0.803, 0.407, 0.336)  0.04
Sm (0.197, 0.593, 0.664)  0.04
Sm (0.803, 0.929, 0.336)  0.04
Sm (0.584, 0.369, 0.739)  0.05
Y (0.163, 0.093, 0.185)  0.05
Y (0.837, 0.907, 0.815)  0.05


Entry 5:
The following is a DFT calculation (PBE) of a relaxed CePrSmY crystal.

Computed properties:
- V (Å³ per cell) = 135.82
- total moment (μB/f.u.) = 3.3

Unit cell a=5.770 b=5.770 c=5.770 alpha=60.00 beta=60.00 gamma=60.00
Last column: magnetic moment on the atom in μB.
Element x y z (fractional)
Pr (0.250, 0.250, 0.250)  0.30
Y (0.500, 0.500, 0.500)  0.29
Ce (0.000, 0.000, 0.000)  1.12
Sm (0.750, 0.750, 0.750)  0.29


Entry 6:
The following is a DFT calculation (PBE) of a relaxed CePrSmZn crystal.

Computed properties:
- V (Å³ per cell) = 108.54
- total moment (μB/f.u.) = 2.0

Unit cell a=5.354 b=5.354 c=5.354 alpha=60.00 beta=60.00 gamma=60.00
Last column: magnetic moment on the atom in μB.
Element x y z (fractional)
Pr (0.750, 0.750, 0.750)  0.20
Zn (0.000, 0.000, 0.000)  -0.01
Ce (0.500, 0.500, 0.500)  0.88
Sm (0.250, 0.250, 0.250)  0.23


Entry 7:
The following is a DFT calculation (PBE) of a relaxed CePr4Sn2 crystal.

Computed properties:
- V (Å³ per cell) = 454.35
- total moment (μB/f.u.) = 0.9

Unit cell a=8.281 b=6.664 c=9.353 alpha=90.00 beta=118.33 gamma=90.00
Last column: magnetic moment on the atom in μB.
Element x y z (fractional)
Ce (0.244, 0.750, 0.362)  0.62
Ce (0.756, 0.250, 0.638)  0.62
Pr (0.533, 0.496, 0.217)  0.02
Pr (0.067, 0.750, 0.909)  0.01
Pr (0.933, 0.250, 0.091)  0.01
Pr (0.533, 0.004, 0.217)  0.02
Pr (0.027, 0.250, 0.506)  0.02
Pr (0.467, 0.996, 0.783)  0.02
Pr (0.467, 0.504, 0.783)  0.02
Pr (0.973, 0.750, 0.494)  0.02
Sn (0.812, 0.750, 0.098)  -0.01
Sn (0.188, 0.250, 0.902)  -0.01
Sn (0.335, 0.250, 0.407)  -0.01
Sn (0.665, 0.750, 0.593)  -0.01


Entry 8:
The following is a DFT calculation (PBE) of a relaxed Ce2Pr2Sn7 crystal.

Computed properties:
- V (Å³ per cell) = 369.06
- total moment (μB/f.u.) = 1.6

Unit cell a=7.294 b=7.052 c=7.294 alpha=90.00 beta=100.38 gamma=90.00
Last column: magnetic moment on the atom in μB.
Element x y z (fractional)
Ce (0.719, 0.000, 0.281)  0.63
Ce (0.281, 0.000, 0.719)  0.63
Pr (0.813, 0.500, 0.813)  0.00
Pr (0.187, 0.500, 0.187)  0.00
Sn (0.000, 0.293, 0.500)  0.02
Sn (0.500, 0.707, 0.000)  0.02
Sn (0.000, 0.707, 0.500)  0.02
Sn (0.500, 0.293, 0.000)  0.02
Sn (0.000, 0.000, 0.000)  0.03
Sn (0.500, 0.704, 0.500)  0.00
Sn (0.500, 0.296, 0.500)  0.00


Entry 9:
The following is a DFT calculation (PBE) of a relaxed CePr2Sn3 crystal.

Computed properties:
- V (Å³ per cell) = 397.33
- total moment (μB/f.u.) = 0.4

Unit cell a=7.911 b=7.892 c=7.892 alpha=120.95 beta=99.66 gamma=99.66
Last column: magnetic moment on the atom in μB.
Element x y z (fractional)
Ce (0.250, 0.587, 0.413)  0.35
Ce (0.750, 0.413, 0.587)  0.35
Pr (0.250, 0.918, 0.082)  -0.01
Pr (0.250, 0.245, 0.755)  -0.01
Pr (0.750, 0.082, 0.918)  -0.01
Pr (0.750, 0.755, 0.245)  -0.01
Sn (0.005, 0.184, 0.344)  0.01
Sn (0.505, 0.344, 0.184)  0.01
Sn (0.000, 0.500, 0.000)  0.01
Sn (0.995, 0.816, 0.656)  0.01
Sn (0.500, 0.000, 0.500)  0.01
Sn (0.495, 0.656, 0.816)  0.01


Entry 10:
The following is a DFT calculation (PBE) of a relaxed Ce2PrSn9 crystal.

Computed properties:
- V (Å³ per cell) = 319.82
- total moment (μB/f.u.) = 0.8

Unit cell a=4.737 b=4.737 c=14.251 alpha=90.00 beta=90.00 gamma=90.00
Last column: magnetic moment on the atom in μB.
Element x y z (fractional)
Ce (0.000, 0.000, 0.337)  0.31
Ce (0.000, 0.000, 0.663)  0.31
Pr (0.000, 0.000, 0.000)  0.00
Sn (0.500, 0.500, 0.000)  0.00
Sn (0.500, 0.500, 0.335)  0.00
Sn (0.500, 0.500, 0.665)  0.00
Sn (0.500, 0.000, 0.171)  0.00
Sn (0.500, 0.000, 0.500)  0.00
Sn (0.500, 0.000, 0.829)  0.00
Sn (0.000, 0.500, 0.171)  0.00
Sn (0.000, 0.500, 0.500)  0.00
Sn (0.000, 0.500, 0.829)  0.00


Entry 11:
The following is a DFT calculation (PBE) of a relaxed CePr4Sn3 crystal.

Computed properties:
- V (Å³ per cell) = 495.23
- total moment (μB/f.u.) = 3.1

Unit cell a=6.173 b=9.474 c=9.474 alpha=83.91 beta=70.99 gamma=70.99
Last column: magnetic moment on the atom in μB.
Element x y z (fractional)
Pr (0.417, 0.302, 0.864)  0.18
Pr (0.583, 0.698, 0.136)  0.18
Pr (0.719, 0.864, 0.698)  0.18
Pr (0.083, 0.136, 0.698)  0.18
Pr (0.281, 0.136, 0.302)  0.18
Pr (0.917, 0.864, 0.302)  0.18
Pr (0.781, 0.302, 0.136)  0.18
Pr (0.219, 0.698, 0.864)  0.18
Sn (0.750, 0.000, 0.000)  0.00
Sn (0.250, 0.000, 0.000)  0.00
Sn (0.340, 0.819, 0.500)  -0.03
Sn (0.660, 0.181, 0.500)  -0.03
Sn (0.160, 0.500, 0.181)  -0.03
Sn (0.840, 0.500, 0.819)  -0.03
Ce (0.750, 0.500, 0.500)  1.13
Ce (0.250, 0.500, 0.500)  1.13


Entry 12:
The following is a DFT calculation (PBE) of a relaxed CePr5Sn3 crystal.

Computed properties:
- V (Å³ per cell) = 553.94
- total moment (μB/f.u.) = 3.5
- relative energy among the computed polymorphs (meV per atom) = 0

Unit cell a=9.723 b=9.723 c=6.767 alpha=90.00 beta=90.00 gamma=120.00
Last column: magnetic moment on the atom in μB.
Element x y z (fractional)
Ce (0.000, 0.000, 0.000)  1.24
Ce (0.000, 0.000, 0.500)  1.24
Pr (0.667, 0.333, 0.000)  0.20
Pr (0.333, 0.667, 0.500)  0.20
Pr (0.333, 0.667, 0.000)  0.20
Pr (0.667, 0.333, 0.500)  0.20
Pr (0.671, 0.000, 0.250)  0.17
Pr (0.000, 0.671, 0.250)  0.17
Pr (0.329, 0.329, 0.250)  0.17
Pr (0.329, 0.000, 0.750)  0.17
Pr (0.000, 0.329, 0.750)  0.17
Pr (0.671, 0.671, 0.750)  0.17
Sn (0.335, 0.000, 0.250)  -0.03
Sn (0.000, 0.335, 0.250)  -0.03
Sn (0.665, 0.665, 0.250)  -0.03
Sn (0.665, 0.000, 0.750)  -0.03
Sn (0.000, 0.665, 0.750)  -0.03
Sn (0.335, 0.335, 0.750)  -0.03


Entry 13:
The following is a DFT calculation (PBE) of a relaxed Ce4PrSn2 crystal.

Computed properties:
- V (Å³ per cell) = 189.78
- total moment (μB/f.u.) = 0.0

Unit cell a=4.215 b=4.215 c=11.091 alpha=100.95 beta=100.95 gamma=90.00
Element x y z (fractional)
Ce (0.151, 0.151, 0.303)
Ce (0.849, 0.849, 0.697)
Ce (0.750, 0.250, 0.500)
Ce (0.250, 0.750, 0.500)
Pr (0.000, 0.000, 0.000)
Sn (0.580, 0.580, 0.159)
Sn (0.420, 0.420, 0.841)


Entry 14:
The following is a DFT calculation (PBE) of a relaxed CePr6Sn4 crystal.

Computed properties:
- V (Å³ per cell) = 406.81
- total moment (μB/f.u.) = 2.0

Unit cell a=8.371 b=8.371 c=8.371 alpha=87.90 beta=121.22 gamma=121.22
Last column: magnetic moment on the atom in μB.
Element x y z (fractional)
Ce (0.000, 0.000, 0.000)  1.09
Pr (0.000, 0.822, 0.509)  0.03
Pr (0.000, 0.509, 0.822)  0.03
Pr (0.687, 0.178, 0.178)  0.03
Pr (0.500, 0.000, 0.500)  0.08
Pr (0.313, 0.491, 0.491)  0.03
Pr (0.500, 0.500, 0.000)  0.08
Sn (0.000, 0.175, 0.628)  -0.01
Sn (0.546, 0.372, 0.372)  -0.01
Sn (0.000, 0.628, 0.175)  -0.01
Sn (0.454, 0.825, 0.825)  -0.01


Entry 15:
The following is a DFT calculation (PBE) of a relaxed Ce2Pr3Sn4 crystal.

Computed properties:
- V (Å³ per cell) = 565.09
- total moment (μB/f.u.) = 1.6

Unit cell a=8.333 b=9.452 c=8.516 alpha=90.00 beta=90.00 gamma=122.60
Last column: magnetic moment on the atom in μB.
Element x y z (fractional)
Ce (0.515, 0.239, 0.335)  0.65
Ce (0.985, 0.761, 0.835)  0.65
Ce (0.485, 0.761, 0.665)  0.65
Ce (0.015, 0.239, 0.165)  0.65
Pr (0.000, 0.500, 0.500)  0.06
Pr (0.500, 0.500, 0.000)  0.06
Pr (0.636, 0.198, 0.820)  0.02
Pr (0.864, 0.802, 0.320)  0.02
Pr (0.364, 0.802, 0.180)  0.02
Pr (0.136, 0.198, 0.680)  0.02
Sn (0.757, 0.083, 0.463)  -0.02
Sn (0.743, 0.917, 0.963)  -0.02
Sn (0.243, 0.917, 0.537)  -0.02
Sn (0.257, 0.083, 0.037)  -0.02
Sn (0.878, 0.507, 0.131)  -0.01
Sn (0.622, 0.493, 0.631)  -0.01
Sn (0.122, 0.493, 0.869)  -0.01
Sn (0.378, 0.507, 0.369)  -0.01


Entry 16:
The following is a DFT calculation (PBE) of a relaxed Ce7PrSn4 crystal.

Computed properties:
- V (Å³ per cell) = 358.80
- total moment (μB/f.u.) = 7.3

Unit cell a=5.912 b=10.278 c=6.839 alpha=84.08 beta=64.39 gamma=73.29
Last column: magnetic moment on the atom in μB.
Element x y z (fractional)
Ce (0.798, 0.891, 0.513)  0.65
Ce (0.202, 0.109, 0.487)  0.65
Ce (0.034, 0.646, 0.286)  0.88
Ce (0.966, 0.354, 0.714)  0.88
Ce (0.345, 0.562, 0.747)  1.01
Ce (0.500, 0.000, 0.000)  0.49
Ce (0.655, 0.438, 0.253)  1.01
Pr (0.000, 0.000, 0.000)  0.07
Sn (0.585, 0.219, 0.612)  -0.02
Sn (0.415, 0.781, 0.388)  -0.02
Sn (0.718, 0.674, 0.890)  -0.03
Sn (0.282, 0.326, 0.110)  -0.03


Entry 17:
The following is a DFT calculation (PBE) of a relaxed CePr5Sn5 crystal.

Computed properties:
- V (Å³ per cell) = 393.21
- total moment (μB/f.u.) = 1.1

Unit cell a=6.402 b=7.929 c=8.901 alpha=106.39 beta=90.00 gamma=113.81
Last column: magnetic moment on the atom in μB.
Element x y z (fractional)
Ce (0.000, 0.000, 0.000)  0.47
Pr (0.670, 0.341, 0.333)  0.01
Pr (0.669, 0.337, 0.835)  0.02
Pr (0.000, 0.000, 0.500)  0.07
Pr (0.331, 0.663, 0.165)  0.02
Pr (0.330, 0.659, 0.667)  0.01
Sn (0.839, 0.678, 0.168)  0.00
Sn (0.837, 0.675, 0.669)  0.01
Sn (0.500, 0.000, 0.000)  0.01
Sn (0.163, 0.325, 0.331)  0.01
Sn (0.161, 0.322, 0.832)  0.00


Entry 18:
The following is a DFT calculation (PBE) of a relaxed CePr2Sn2 crystal.

Computed properties:
- V (Å³ per cell) = 157.04
- total moment (μB/f.u.) = 1.8

Unit cell a=4.836 b=6.265 c=6.265 alpha=69.64 beta=67.29 gamma=67.29
Last column: magnetic moment on the atom in μB.
Element x y z (fractional)
Ce (0.000, 0.000, 0.000)  1.02
Pr (0.202, 0.298, 0.298)  0.09
Pr (0.798, 0.702, 0.702)  0.09
Sn (0.500, 0.290, 0.710)  -0.02
Sn (0.500, 0.710, 0.290)  -0.02


Entry 19:
The following is a DFT calculation (PBE) of a relaxed Ce3Pr2Sn3 crystal.

Computed properties:
- V (Å³ per cell) = 512.68
- total moment (μB/f.u.) = 4.1

Unit cell a=6.744 b=9.369 c=9.369 alpha=120.00 beta=90.00 gamma=90.00
Last column: magnetic moment on the atom in μB.
Element x y z (fractional)
Ce (0.750, 0.247, 0.000)  0.92
Ce (0.750, 0.753, 0.753)  0.92
Ce (0.750, 0.000, 0.247)  0.92
Ce (0.250, 0.753, 0.000)  0.92
Ce (0.250, 0.247, 0.247)  0.92
Ce (0.250, 0.000, 0.753)  0.92
Pr (0.000, 0.333, 0.667)  0.16
Pr (0.500, 0.667, 0.333)  0.16
Pr (0.000, 0.667, 0.333)  0.16
Pr (0.500, 0.333, 0.667)  0.16
Sn (0.750, 0.610, 0.000)  -0.04
Sn (0.750, 0.390, 0.390)  -0.04
Sn (0.750, 0.000, 0.610)  -0.04
Sn (0.250, 0.390, 0.000)  -0.04
Sn (0.250, 0.610, 0.610)  -0.04
Sn (0.250, 0.000, 0.390)  -0.04


Entry 20:
The following is a DFT calculation (PBE) of a relaxed CePr4Sn4 crystal.

Computed properties:
- V (Å³ per cell) = 616.56
- total moment (μB/f.u.) = 1.3

Unit cell a=6.473 b=9.759 c=9.759 alpha=90.00 beta=90.00 gamma=90.00
Last column: magnetic moment on the atom in μB.
Element x y z (fractional)
Ce (0.000, 0.000, 0.000)  0.83
Ce (0.500, 0.500, 0.500)  0.83
Pr (0.374, 0.294, 0.915)  0.02
Pr (0.874, 0.585, 0.794)  0.02
Pr (0.374, 0.706, 0.085)  0.02
Pr (0.126, 0.206, 0.585)  0.02
Pr (0.626, 0.915, 0.706)  0.02
Pr (0.126, 0.794, 0.415)  0.02
Pr (0.874, 0.415, 0.206)  0.02
Pr (0.626, 0.085, 0.294)  0.02
Sn (0.631, 0.776, 0.388)  0.00
Sn (0.631, 0.224, 0.612)  0.00
Sn (0.131, 0.888, 0.724)  0.00
Sn (0.869, 0.276, 0.888)  0.00
Sn (0.869, 0.724, 0.112)  0.00
Sn (0.369, 0.388, 0.224)  0.00
Sn (0.369, 0.612, 0.776)  0.00
Sn (0.131, 0.112, 0.276)  0.00


| no. | E_form (meV/atom) |
| --- | --- |
| 1 | 39.9 |
| 2 | 277.7 |
| 3 | 274.0 |
| 4 | 245.6 |
| 5 | 193.9 |
| 6 | 110.8 |
| 7 | -377.5 |
| 8 | -174.6 |
| 9 | -526.3 |
| 10 | -525.5 |
| 11 | -672.0 |
| 12 | -563.2 |
| 13 | -118.9 |
| 14 | -339.1 |
| 15 | -683.3 |
| 16 | -225.2 |
| 17 | -472.7 |
| 18 | -573.4 |
| 19 | -514.7 |
| 20 | -429.3 |